Entry 1:
Entry from the Alexandria database: a relaxed structure of ReTcI2O (GGA-PBE).

Geometry as CIF:
```
data_ReTcI2O
_symmetry_space_group_name_H-M 'P 4/m m m'
_symmetry_Int_Tables_number 123
_symmetry_space_group_name_Hall '-P 4 2'
_cell_length_a 5.5820
_cell_length_b 5.5820
_cell_length_c 3.7113
_cell_angle_alpha 90.00
_cell_angle_beta 90.00
_cell_angle_gamma 90.00
loop_
_atom_site_label
_atom_site_type_symbol
_atom_site_fract_x
_atom_site_fract_y
_atom_site_fract_z
Re1 Re 0.0000 0.0000 0.0000
Tc1 Tc 0.5000 0.5000 0.5000
I1 I 0.0000 0.5000 0.5000
O1 O 0.5000 0.5000 0.0000
```

ΔE_f (raw): 4.2 eV per formula unit
energy: -5.3258 eV per atom
crystal system: tetragonal

---

Entry 2:
Entry from the Alexandria database: a relaxed structure of ReTeI2O (GGA-PBE).

Geometry as CIF:
```
data_ReTeI2O
_symmetry_space_group_name_H-M 'P 4/m m m'
_symmetry_Int_Tables_number 123
_symmetry_space_group_name_Hall '-P 4 2'
_cell_length_a 5.4466
_cell_length_b 5.4466
_cell_length_c 5.0867
_cell_angle_alpha 90.00
_cell_angle_beta 90.00
_cell_angle_gamma 90.00
loop_
_atom_site_label
_atom_site_type_symbol
_atom_site_fract_x
_atom_site_fract_y
_atom_site_fract_z
Re1 Re 0.0000 0.0000 0.0000
Te1 Te 0.0000 0.0000 0.5000
I1 I 0.0000 0.5000 0.0000
O1 O 0.5000 0.5000 0.5000
```

ΔE_f (raw): 5.7 eV per formula unit
energy: -3.5834 eV per atom
crystal system: tetragonal

---

Entry 3:
Entry from the Alexandria database: a relaxed structure of ReTeI2O (GGA-PBE).

Geometry as CIF:
```
data_ReTeI2O
_symmetry_space_group_name_H-M 'P 4/m m m'
_symmetry_Int_Tables_number 123
_symmetry_space_group_name_Hall '-P 4 2'
_cell_length_a 4.9586
_cell_length_b 4.9586
_cell_length_c 4.4924
_cell_angle_alpha 90.00
_cell_angle_beta 90.00
_cell_angle_gamma 90.00
loop_
_atom_site_label
_atom_site_type_symbol
_atom_site_fract_x
_atom_site_fract_y
_atom_site_fract_z
Re1 Re 0.0000 0.0000 0.0000
Te1 Te 0.5000 0.5000 0.0000
I1 I 0.0000 0.5000 0.5000
O1 O 0.5000 0.5000 0.5000
```

ΔE_f (raw): 7.2 eV per formula unit
energy: -3.2853 eV per atom
crystal system: tetragonal

---

Entry 4:
Entry from the Alexandria database: a relaxed structure of ReTeI2O (GGA-PBE).

Geometry as CIF:
```
data_ReTeI2O
_symmetry_space_group_name_H-M 'P 4/m m m'
_symmetry_Int_Tables_number 123
_symmetry_space_group_name_Hall '-P 4 2'
_cell_length_a 6.2358
_cell_length_b 6.2358
_cell_length_c 4.0783
_cell_angle_alpha 90.00
_cell_angle_beta 90.00
_cell_angle_gamma 90.00
loop_
_atom_site_label
_atom_site_type_symbol
_atom_site_fract_x
_atom_site_fract_y
_atom_site_fract_z
Re1 Re 0.0000 0.0000 0.0000
Te1 Te 0.5000 0.5000 0.5000
I1 I 0.0000 0.5000 0.5000
O1 O 0.5000 0.5000 0.0000
```

ΔE_f (raw): 5.2 eV per formula unit
energy: -3.6939 eV per atom
crystal system: tetragonal

---

Entry 5:
Entry from the Alexandria database: a relaxed structure of ReTeI2O (GGA-PBE).

Geometry as CIF:
```
data_ReTeI2O
_symmetry_space_group_name_H-M 'P 4/m m m'
_symmetry_Int_Tables_number 123
_symmetry_space_group_name_Hall '-P 4 2'
_cell_length_a 5.6703
_cell_length_b 5.6703
_cell_length_c 3.7949
_cell_angle_alpha 90.00
_cell_angle_beta 90.00
_cell_angle_gamma 90.00
loop_
_atom_site_label
_atom_site_type_symbol
_atom_site_fract_x
_atom_site_fract_y
_atom_site_fract_z
Re1 Re 0.0000 0.0000 0.0000
Te1 Te 0.5000 0.5000 0.5000
I1 I 0.0000 0.5000 0.0000
O1 O 0.0000 0.0000 0.5000
```

ΔE_f (raw): 0.4 eV per formula unit
energy: -4.6399 eV per atom
crystal system: tetragonal

---

Entry 6:
Entry from the Alexandria database: a relaxed structure of TlReI2O (GGA-PBE).

Geometry as CIF:
```
data_TlReI2O
_symmetry_space_group_name_H-M 'P 4/m m m'
_symmetry_Int_Tables_number 123
_symmetry_space_group_name_Hall '-P 4 2'
_cell_length_a 6.1860
_cell_length_b 6.1860
_cell_length_c 4.1180
_cell_angle_alpha 90.00
_cell_angle_beta 90.00
_cell_angle_gamma 90.00
loop_
_atom_site_label
_atom_site_type_symbol
_atom_site_fract_x
_atom_site_fract_y
_atom_site_fract_z
Tl1 Tl 0.0000 0.0000 0.0000
Re1 Re 0.5000 0.5000 0.5000
I1 I 0.0000 0.5000 0.0000
O1 O 0.0000 0.0000 0.5000
```

ΔE_f (raw): 5.5 eV per formula unit
energy: -3.4671 eV per atom
crystal system: tetragonal

---

Entry 7:
Entry from the Alexandria database: a relaxed structure of TlReI2O (GGA-PBE).

Geometry as CIF:
```
data_TlReI2O
_symmetry_space_group_name_H-M 'P 4/m m m'
_symmetry_Int_Tables_number 123
_symmetry_space_group_name_Hall '-P 4 2'
_cell_length_a 5.8029
_cell_length_b 5.8029
_cell_length_c 3.8246
_cell_angle_alpha 90.00
_cell_angle_beta 90.00
_cell_angle_gamma 90.00
loop_
_atom_site_label
_atom_site_type_symbol
_atom_site_fract_x
_atom_site_fract_y
_atom_site_fract_z
Tl1 Tl 0.0000 0.0000 0.0000
Re1 Re 0.5000 0.5000 0.5000
I1 I 0.0000 0.5000 0.5000
O1 O 0.5000 0.5000 0.0000
```

ΔE_f (raw): -1.3 eV per formula unit
energy: -4.8429 eV per atom
crystal system: tetragonal

---

Entry 8:
Entry from the Alexandria database: a relaxed structure of TlReIO6 (GGA-PBE).

Geometry as CIF:
```
data_TlReIO6
_symmetry_space_group_name_H-M 'P 1'
_symmetry_Int_Tables_number 1
_cell_length_a 5.6188
_cell_length_b 5.9578
_cell_length_c 6.6906
_cell_angle_alpha 70.77
_cell_angle_beta 83.06
_cell_angle_gamma 82.73
loop_
_symmetry_equiv_pos_as_xyz
'x,y,z'
loop_
_atom_site_label
_atom_site_type_symbol
_atom_site_fract_x
_atom_site_fract_y
_atom_site_fract_z
Tl1 Tl 0.0000 0.0000 0.0000
Re1 Re 0.3962 0.2769 0.3498
I1 I 0.5873 0.6519 0.7105
O1 O 0.2436 0.3336 0.1222
O2 O 0.2625 0.0559 0.5652
O3 O 0.3900 0.5418 0.4133
O4 O 0.6499 0.7605 0.9244
O5 O 0.6926 0.1624 0.3025
O6 O 0.7985 0.3840 0.7363
```

ΔE_f (raw): -9.0 eV per formula unit
energy: -6.1288 eV per atom
crystal system: triclinic

---

Please write out number 3 again, unchanged.
Entry from the Alexandria database: a relaxed structure of ReTeI2O (GGA-PBE).

Geometry as CIF:
```
data_ReTeI2O
_symmetry_space_group_name_H-M 'P 4/m m m'
_symmetry_Int_Tables_number 123
_symmetry_space_group_name_Hall '-P 4 2'
_cell_length_a 4.9586
_cell_length_b 4.9586
_cell_length_c 4.4924
_cell_angle_alpha 90.00
_cell_angle_beta 90.00
_cell_angle_gamma 90.00
loop_
_atom_site_label
_atom_site_type_symbol
_atom_site_fract_x
_atom_site_fract_y
_atom_site_fract_z
Re1 Re 0.0000 0.0000 0.0000
Te1 Te 0.5000 0.5000 0.0000
I1 I 0.0000 0.5000 0.5000
O1 O 0.5000 0.5000 0.5000
```

ΔE_f (raw): 7.2 eV per formula unit
energy: -3.2853 eV per atom
crystal system: tetragonal

---

- Among the records above, which one has the highest ΔE_f (raw)?
  number 3